No. 1
This record from Alexandria via LeMat-Bulk describes a geometry-optimized YTlTe2 structure. The functional is PBEsol.

```
data_YTlTe2
_space_group_name_H-M_alt 'P 1 2/m 1'
_space_group_IT_number 10
_space_group_name_Hall '-P 2y'
_cell_length_a 3.808
_cell_length_b 3.808
_cell_length_c 8.031
_cell_angle_alpha 90.00
_cell_angle_beta 90.08
_cell_angle_gamma 90.00
loop_
_atom_site_label
_atom_site_type_symbol
_atom_site_fract_x
_atom_site_fract_y
_atom_site_fract_z
Y1 Y 0.000 0.000 0.000
Tl1 Tl 0.000 0.000 0.500
Te1 Te 0.500 0.500 0.217
```

Output
Formation energy without anion corrections = -877 meV per atom
Fermi-level density of states = 1.29 states/eV/cell
Spin magnetization = 0.0000 μB/atom
Theoretical density = 7.82 g/cm³

***

No. 2
This record from Alexandria via LeMat-Bulk describes a geometry-optimized Li2Mn3WO8 structure. The functional is PBEsol.

```
data_Li2Mn3WO8
_space_group_name_H-M_alt 'P 21 21 21'
_space_group_IT_number 19
_space_group_name_Hall 'P 2ac 2ab'
_cell_length_a 8.271
_cell_length_b 8.350
_cell_length_c 8.910
_cell_angle_alpha 90.00
_cell_angle_beta 90.00
_cell_angle_gamma 90.00
loop_
_atom_site_label
_atom_site_type_symbol
_atom_site_fract_x
_atom_site_fract_y
_atom_site_fract_z
Li1 Li 0.002 0.005 0.005
Li2 Li 0.236 0.749 0.748
Mn1 Mn 0.112 0.379 0.877
Mn2 Mn 0.122 0.131 0.626
Mn3 Mn 0.148 0.883 0.382
W1 W 0.125 0.618 0.137
O1 O 0.100 0.133 0.366
O2 O 0.110 0.616 0.904
O3 O 0.114 0.155 0.866
O4 O 0.116 0.901 0.611
O5 O 0.124 0.394 0.122
O6 O 0.141 0.363 0.617
O7 O 0.147 0.857 0.135
O8 O 0.148 0.622 0.350
```

Output
Formation energy without anion corrections = -1793 meV per atom
Fermi-level density of states = 10.90 states/eV/cell
Relative energy among the computed polymorphs = 41 meV per atom
Spin magnetization = 0.9233 μB/atom
Theoretical density = 5.30 g/cm³

***

No. 3
This record from Alexandria via LeMat-Bulk describes a geometry-optimized InRe2H structure. The functional is PBEsol.

```
data_InRe2H
_space_group_name_H-M_alt 'F m -3 m'
_space_group_IT_number 225
_space_group_name_Hall '-F 4 2 3'
_cell_length_a 6.073
_cell_length_b 6.073
_cell_length_c 6.073
_cell_angle_alpha 90.00
_cell_angle_beta 90.00
_cell_angle_gamma 90.00
loop_
_atom_site_label
_atom_site_type_symbol
_atom_site_fract_x
_atom_site_fract_y
_atom_site_fract_z
In1 In 0.000 0.000 0.000
Re1 Re 0.250 0.250 0.250
H1 H 0.000 0.000 0.500
```

Output
Fermi-level density of states = 15.57 states/eV/cell
Electronic total energy = -107.1 eV for the cell shown
Spin magnetization = 0.0000 μB/atom
Theoretical density = 14.48 g/cm³

***

No. 4
This record from Alexandria via LeMat-Bulk describes a geometry-optimized BeIr2Se structure. The functional is PBEsol.

```
data_BeIr2Se
_space_group_name_H-M_alt 'P 1 2/m 1'
_space_group_IT_number 10
_space_group_name_Hall '-P 2y'
_cell_length_a 2.781
_cell_length_b 4.082
_cell_length_c 5.211
_cell_angle_alpha 90.00
_cell_angle_beta 105.35
_cell_angle_gamma 90.00
loop_
_atom_site_label
_atom_site_type_symbol
_atom_site_fract_x
_atom_site_fract_y
_atom_site_fract_z
Be1 Be 0.000 0.000 0.000
Ir1 Ir 0.364 0.500 0.221
Se1 Se 0.500 0.000 0.500
```

Output
Formation energy without anion corrections = 189 meV per atom
Fermi-level density of states = 1.93 states/eV/cell
Relative energy among the computed polymorphs = 0 meV per atom
Spin magnetization = 0.0000 μB/atom
Theoretical density = 13.75 g/cm³